# 1
The following is a DFT calculation (PBE) of a relaxed structure of Li6Mg12In.

Calculated values
offset from the most stable computed form: 49.1 meV/atom
energy relative to the elements: 0.080 eV per formula unit
total magnetization: 0.00 μB per formula unit

Cell lengths 7.6708, 7.6708, 7.6708 Å; angles 99.88, 99.88, 99.88 degrees
With the nearest neighbours (Å) after each atom.
Fractional coordinates of all 19 atoms:
Li  0.2497  0.5000  0.7503  6 Mg 2.92-3.20, 2 Li 2.94
Li  0.5000  0.2497  0.7503  6 Mg 2.92-3.20, 2 Li 2.94
Li  0.2497  0.7503  0.5000  6 Mg 2.92-3.20, 2 Li 2.94
Li  0.7503  0.5000  0.2497  6 Mg 2.92-3.20, 2 Li 2.94
Li  0.5000  0.7503  0.2497  6 Mg 2.92-3.20, 2 Li 2.94
Li  0.7503  0.2497  0.5000  6 Mg 2.92-3.20, 2 Li 2.94
Mg  0.3344  0.0664  0.3344  4 Li 2.95-3.20, 3 Mg 3.15-3.27, 1 In 3.20
Mg  0.0664  0.3344  0.3344  4 Li 2.95-3.20, 3 Mg 3.15-3.27, 1 In 3.20
Mg  0.3344  0.3344  0.0664  4 Li 2.95-3.20, 3 Mg 3.15-3.27, 1 In 3.20
Mg  0.6656  0.9336  0.6656  4 Li 2.95-3.20, 3 Mg 3.15-3.27, 1 In 3.20
Mg  0.9336  0.6656  0.6656  4 Li 2.95-3.20, 3 Mg 3.15-3.27, 1 In 3.20
Mg  0.6656  0.6656  0.9336  4 Li 2.95-3.20, 3 Mg 3.15-3.27, 1 In 3.20
Mg  0.1102  0.1102  0.6669  3 Mg 2.88-3.11, 2 Li 2.92, 1 In 3.03
Mg  0.3331  0.8898  0.8898  3 Mg 2.88-3.11, 2 Li 2.92, 1 In 3.03
Mg  0.8898  0.3331  0.8898  3 Mg 2.88-3.11, 2 Li 2.92, 1 In 3.03
Mg  0.8898  0.8898  0.3331  3 Mg 2.88-3.11, 2 Li 2.92, 1 In 3.03
Mg  0.6669  0.1102  0.1102  3 Mg 2.88-3.11, 2 Li 2.92, 1 In 3.03
Mg  0.1102  0.6669  0.1102  3 Mg 2.88-3.11, 2 Li 2.92, 1 In 3.03
In  0.0000  0.0000  0.0000  12 Mg 3.03-3.20


# 2
The following is a DFT calculation (PBE) of a relaxed structure of ReTe2Ir.

Calculated values
offset from the most stable computed form: 816.4 meV/atom
E_form (uncorrected): 4.2 eV/f.u.
total magnetization: 0.00 μB per formula unit

Cell lengths 4.7723, 2.9725, 5.4394 Å; angles 90.04, 90.00, 90.00 degrees
With the nearest neighbours (Å) after each atom.
Fractional coordinates of all 4 atoms:
Ir  0.5000  0.2500  0.2500  4 Te 2.85, 2 Ir 2.97, 4 Re 3.10
Re  0.5000  0.7500  0.7500  4 Te 2.84, 2 Re 2.97, 4 Ir 3.10
Te  0.0000  0.9767  0.0037  2 Re 2.84, 2 Ir 2.85, 5 Te 2.97-3.13
Te  0.0000  0.5233  0.4963  2 Re 2.84, 2 Ir 2.85, 5 Te 2.97-3.13


# 3
The following is a DFT calculation (PBE) of a relaxed structure of YHBr3.

Calculated values
offset from the most stable computed form: 0.0 meV/atom
total magnetization: 0.00 μB per formula unit

Cell lengths 7.5221, 7.6926, 12.9856 Å; angles 74.12, 90.00, 90.00 degrees
With the nearest neighbours (Å) after each atom.
Fractional coordinates of all 20 atoms:
Y  0.7500  0.0840  0.9159  6 Br 2.80-2.86
Y  0.2500  0.5840  0.4159  6 Br 2.80-2.86
Y  0.7500  0.4160  0.5841  6 Br 2.80-2.86
Y  0.2500  0.9160  0.0841  6 Br 2.80-2.86
H  0.2378  0.2099  0.7387  1 H 0.75
H  0.2378  0.2901  0.7613  1 H 0.75
H  0.7622  0.7099  0.2387  1 H 0.75
H  0.7622  0.7901  0.2613  1 H 0.75
Br  0.9729  0.7177  0.5241  2 Y 2.80-2.86
Br  0.0271  0.2177  0.0241  2 Y 2.80-2.86
Br  0.2504  0.5490  0.2046  2 Y 2.83
Br  0.4720  0.8238  0.9345  2 Y 2.80-2.86
Br  0.7496  0.0490  0.7046  2 Y 2.83
Br  0.0271  0.2823  0.4759  2 Y 2.80-2.86
Br  0.4720  0.6762  0.5655  2 Y 2.80-2.86
Br  0.2504  0.9510  0.2954  2 Y 2.83
Br  0.5280  0.1762  0.0655  2 Y 2.80-2.86
Br  0.7496  0.4510  0.7954  2 Y 2.83
Br  0.9729  0.7823  0.9759  2 Y 2.80-2.86
Br  0.5280  0.3238  0.4345  2 Y 2.80-2.86